A plane-wave DFT calculation with PBE was carried out for an optimized crystal structure of BaHfTe3.

Space group: Pm-3m
Energy relative to the lowest polymorph listed for this composition, meV/atom: 2120
Crystal system: cubic
Final energy, eV/atom: -3.33
Formation energy without anion corrections, kJ/mol of atoms: 90

a b c (Å): 6.212 6.212 6.212
angles (deg): 90.00 90.00 90.00
Site moments in Bohr magnetons follow the coordinates.
Atoms (fractional coordinates):
Hf: 0.500 0.500 0.500  1.03
Te: 0.000 0.000 0.500  -0.20
Te: 0.000 0.500 0.000  -0.20
Te: 0.500 0.000 0.000  -0.15
Ba: 0.000 0.000 0.000  -0.02

A plane-wave DFT calculation with PBE was carried out for an optimized crystal structure of Pm2PrNdP4.

Space group: P2/m
Crystal system: monoclinic
Final energy, eV/atom: -6.63

a b c (Å): 4.162 7.202 7.202
angles (deg): 109.45 90.00 90.00
Atoms (fractional coordinates):
Nd: 0.000 0.000 0.000
P: 0.000 0.752 0.254
P: 0.500 0.250 0.253
P: 0.000 0.248 0.746
P: 0.500 0.750 0.747
Pm: 0.000 0.500 0.500
Pm: 0.500 0.000 0.500
Pr: 0.500 0.500 0.000